VASP calculation (PBE) on BiAsSe2N after structural relaxation.

Geometry as POSCAR:
```
BiAsSe2N
1.0
5.443 0.000 0.000
0.000 5.443 0.000
0.000 0.000 5.630
Bi As Se N
1 1 2 1
Direct
0.000 0.000 0.000
0.000 0.000 0.500
0.000 0.500 0.000
0.500 0.000 0.000
0.500 0.500 0.500
```

Properties
Space-group type: P4/mmm (123)
Crystal system: tetragonal
ΔE_f (raw) (eV per atom): 2.01
N(E_F) (states/eV/atom): 2.168